# PBE LaCd4In15, relaxed
# DOS(E_F)	10.042	states/eV per cell
# volume	526.8	Å³ per cell
# ΔH_f (0 K)	-0.060	eV per atom
data_LaCd4In15
_chemical_formula_sum 'La1 Cd4 In15'
_cell_length_a 4.7209
_cell_length_b 4.7209
_cell_length_c 23.6361
_cell_angle_alpha 90.00
_cell_angle_beta 90.00
_cell_angle_gamma 90.00
_space_group_name_H-M_alt 'P 4/m m m'
_space_group_IT_number 123
_space_group_name_Hall '-P 4 2'
loop_
_atom_site_label
_atom_site_fract_x
_atom_site_fract_y
_atom_site_fract_z
La1 0.0000 0.0000 0.0000
Cd1 0.0000 0.0000 0.1990
Cd2 0.0000 0.0000 0.4017
In1 0.0000 0.5000 0.1041
In2 0.0000 0.5000 0.3011
In3 0.0000 0.5000 0.5000
In4 0.5000 0.5000 0.0000
In5 0.5000 0.5000 0.2043
In6 0.5000 0.5000 0.4023